Entry 1:
Density functional theory data (PBE-GGA) for an optimized crystal structure of Co2AgMo.

a = 4.4292 Å, b = 4.4292 Å, c = 4.4292 Å
α = 127.39°, β = 127.35°, γ = 77.66°
Last column: nearest neighbours and their distance in Å.
Sites, in units of the cell vectors:
Ag  0.2500  0.7500  0.5000  8 Co 2.61, 4 Mo 2.78
Co  0.9999  0.9999  0.0000  4 Mo 2.61, 4 Ag 2.61, 4 Co 2.78
Co  0.5001  0.5001  0.0000  4 Mo 2.61, 4 Ag 2.61, 4 Co 2.78
Mo  0.7500  0.2500  0.5000  8 Co 2.61, 4 Ag 2.78

## Properties
- polymorph energy (0 for the lowest one) (eV/atom) = 0.083
- VASP energy (eV/atom) = -6.6061
- ΔH_f (0 K) (eV per atom) = 0.367

=====

Entry 2:
Density functional theory data (PBE-GGA) for an optimized crystal structure of ZrOs2Se.

a = 4.5591 Å, b = 4.5591 Å, c = 4.5591 Å
α = 60.00°, β = 60.00°, γ = 60.00°
Last column: nearest neighbours and their distance in Å.
Sites, in units of the cell vectors:
Os  0.2500  0.2500  0.2500  4 Se 2.79, 4 Os 2.79
Os  0.0000  0.0000  0.0000  4 Os 2.79, 4 Zr 2.79
Se  0.5000  0.5000  0.5000  4 Zr 2.79, 4 Os 2.79
Zr  0.7500  0.7500  0.7500  4 Se 2.79, 4 Os 2.79

## Properties
- VASP energy (eV/atom) = -8.2154

=====

Entry 3:
Density functional theory data (PBE-GGA) for an optimized crystal structure of KTlH2Au.

a = 4.5440 Å, b = 6.4257 Å, c = 4.5440 Å
α = 90.00°, β = 90.00°, γ = 90.00°
Last column: nearest neighbours and their distance in Å.
Sites, in units of the cell vectors:
Au  0.0000  0.5000  0.0000  2 K 3.21, 4 Tl 3.21
Tl  0.5000  0.5000  0.5000  4 Au 3.21
K  0.0000  0.0000  0.0000  4 H 2.27
H  0.5000  0.0000  0.0000  2 K 2.27
H  0.0000  0.0000  0.5000  2 K 2.27

## Properties
- VASP energy (eV/atom) = -2.0707

=====

Entry 4:
Density functional theory data (PBE-GGA) for an optimized crystal structure of Rb3PmPr2Se6.

a = 7.6016 Å, b = 7.6016 Å, c = 8.4211 Å
α = 98.66°, β = 98.66°, γ = 120.00°
Last column: nearest neighbours and their distance in Å.
Sites, in units of the cell vectors:
Rb  0.1673  0.8327  0.5000  6 Se 3.48-3.50
Rb  0.5000  0.5000  0.5000  6 Se 3.48-3.51
Rb  0.8327  0.1673  0.5000  6 Se 3.48-3.50
Se  0.3971  0.0672  0.2015  1 Pm 2.98, 2 Pr 3.02
Se  0.2627  0.2627  0.7984  1 Pm 2.99, 2 Pr 3.02
Se  0.7373  0.7373  0.2016  1 Pm 2.99, 2 Pr 3.02
Se  0.0672  0.3971  0.2015  1 Pm 2.98, 2 Pr 3.02
Se  0.9328  0.6029  0.7985  1 Pm 2.98, 2 Pr 3.02
Se  0.6029  0.9328  0.7985  1 Pm 2.98, 2 Pr 3.02
Pr  0.3334  0.6666  0.0000  6 Se 3.02
Pr  0.6666  0.3334  0.0000  6 Se 3.02
Pm  0.0000  0.0000  0.0000  6 Se 2.98-2.99

## Properties
- VASP energy (eV/atom) = -4.9108

=====

Entry 5:
Density functional theory data (PBE-GGA) for an optimized crystal structure of Cr2TcTe.

a = 3.2719 Å, b = 4.3180 Å, c = 4.3643 Å
α = 90.00°, β = 90.00°, γ = 90.00°
Last column: nearest neighbours and their distance in Å.
Sites, in units of the cell vectors:
Cr  0.0000  0.0000  0.0000  4 Cr 2.71, 4 Tc 2.73
Cr  0.5000  0.5000  0.0000  4 Cr 2.71, 4 Te 2.73
Tc  0.5000  0.0000  0.5000  4 Te 2.71, 4 Cr 2.73
Te  0.0000  0.5000  0.5000  4 Tc 2.71, 4 Cr 2.73

## Properties
- VASP energy (eV/atom) = -7.8309

=====

Entry 6:
Density functional theory data (PBE-GGA) for an optimized crystal structure of ErPaBi2.

a = 5.4324 Å, b = 5.4324 Å, c = 5.4324 Å
α = 60.00°, β = 60.00°, γ = 60.00°
Last column: nearest neighbours and their distance in Å.
Sites, in units of the cell vectors:
Pa  0.0000  0.0000  0.0000  8 Bi 3.33
Er  0.5000  0.5000  0.5000  8 Bi 3.33
Bi  0.2500  0.2500  0.2500  4 Er 3.33, 4 Pa 3.33
Bi  0.7500  0.7500  0.7500  4 Pa 3.33, 4 Er 3.33

## Properties
- polymorph energy (0 for the lowest one) (eV/atom) = 0.112
- VASP energy (eV/atom) = -5.7552
- ΔH_f (0 K) (eV per atom) = -0.300

=====

Entry 7:
Density functional theory data (PBE-GGA) for an optimized crystal structure of Er4IrSe2S.

a = 3.9526 Å, b = 7.0703 Å, c = 7.0462 Å
α = 71.34°, β = 90.00°, γ = 90.00°
Last column: nearest neighbours and their distance in Å.
Sites, in units of the cell vectors:
Ir  0.5000  0.5000  0.0000  6 Er 2.72-2.74
Se  0.0000  0.0000  0.0000  6 Er 2.92-2.93
Se  0.5000  0.0000  0.5000  6 Er 2.99
Er  0.0000  0.7230  0.7679  2 Ir 2.72, 1 S 2.82, 3 Se 2.93-2.99
Er  0.5000  0.2708  0.7507  1 Ir 2.74, 2 S 2.80, 3 Se 2.92-2.99
Er  0.5000  0.7292  0.2493  1 Ir 2.74, 2 S 2.80, 3 Se 2.92-2.99
Er  0.0000  0.2770  0.2321  2 Ir 2.72, 1 S 2.82, 3 Se 2.93-2.99
S  0.0000  0.5000  0.5000  6 Er 2.80-2.82

## Properties
- VASP energy (eV/atom) = -6.3320

=====

Entry 8:
Density functional theory data (PBE-GGA) for an optimized crystal structure of ZnMo2Au.

a = 9.5986 Å, b = 9.5986 Å, c = 9.5986 Å
α = 16.82°, β = 16.82°, γ = 16.82°
Last column: nearest neighbours and their distance in Å.
Sites, in units of the cell vectors:
Mo  0.2479  0.2479  0.2479  9 Mo 2.81-2.90, 3 Zn 2.81
Mo  0.9993  0.9993  0.9993  9 Mo 2.81-2.90, 3 Au 2.94
Au  0.7526  0.7526  0.7526  6 Au 2.81, 3 Zn 2.81, 3 Mo 2.94
Zn  0.5002  0.5002  0.5002  6 Zn 2.81, 3 Au 2.81, 3 Mo 2.81

## Properties
- VASP energy (eV/atom) = -6.3485
- ΔH_f (0 K) (eV per atom) = 0.205